Entry 1:
DFT (PBE) results for NpCdGaCu after structural relaxation.

Calculated values
The spin magnetization comes out at 4.091 μB/f.u. The density comes out at 10.19 g/cm³. The energy of formation comes out at 0.104 eV per atom.

Lattice parameters (Å, degrees): 4.809 4.809 4.809 60.00 60.00 60.00
Fractional coordinates of all 4 atoms:
1 Np 0.000 0.000 0.000
2 Cd 0.500 0.500 0.500
3 Ga 0.250 0.250 0.250
4 Cu 0.750 0.750 0.750



Entry 2:
DFT (PBE) results for Cd2GaCuO5 after structural relaxation.

Calculated values
The spin magnetization comes out at 0.000 μB/f.u. For the formation energy (no corrections), the calculation gives -0.982 eV/atom. The density comes out at 6.71 g/cm³.

Lattice parameters (Å, degrees): 6.232 6.232 11.458 90.00 90.00 150.83
Fractional coordinates of all 18 atoms:
1 Cd 0.082 0.918 0.500
2 Cd 0.162 0.838 0.129
3 Cd 0.838 0.162 0.629
4 Cd 0.918 0.082 0.000
5 Ga 0.216 0.784 0.857
6 Ga 0.784 0.216 0.357
7 Cu 0.476 0.524 0.266
8 Cu 0.524 0.476 0.766
9 O 0.054 0.946 0.870
10 O 0.260 0.740 0.476
11 O 0.321 0.679 0.245
12 O 0.365 0.635 0.789
13 O 0.489 0.511 0.603
14 O 0.511 0.489 0.103
15 O 0.635 0.365 0.289
16 O 0.679 0.321 0.745
17 O 0.740 0.260 0.976
18 O 0.946 0.054 0.370



Entry 3:
DFT (PBE) results for Cd2Ga3CuO8 after structural relaxation.

Calculated values
The spin magnetization comes out at 2.039 μB/f.u. For the formation energy (no corrections), the calculation gives -1.281 eV/atom. The density comes out at 5.96 g/cm³.

Lattice parameters (Å, degrees): 6.489 6.489 6.489 55.77 55.77 55.77
Fractional coordinates of all 14 atoms:
1 Cd 0.000 0.000 0.000
2 Cd 0.363 0.363 0.363
3 Ga 0.367 0.367 0.868
4 Ga 0.367 0.868 0.367
5 Ga 0.868 0.367 0.367
6 Cu 0.778 0.778 0.778
7 O 0.111 0.111 0.571
8 O 0.111 0.571 0.111
9 O 0.134 0.134 0.134
10 O 0.144 0.617 0.617
11 O 0.571 0.111 0.111
12 O 0.589 0.589 0.589
13 O 0.617 0.144 0.617
14 O 0.617 0.617 0.144



Entry 4:
DFT (PBE) results for CdGa2CuO after structural relaxation.

Calculated values
The spin magnetization comes out at 0.000 μB/f.u. For the formation energy (no corrections), the calculation gives 0.034 eV/atom. The density comes out at 6.27 g/cm³.

Lattice parameters (Å, degrees): 4.201 4.201 4.976 90.00 90.00 90.00
Fractional coordinates of all 5 atoms:
1 Cd 0.000 0.000 0.000
2 Ga 0.000 0.500 0.500
3 Ga 0.500 0.000 0.500
4 Cu 0.500 0.500 0.000
5 O 0.000 0.000 0.500



Entry 5:
DFT (PBE) results for PaCdGaCu after structural relaxation.

Calculated values
The spin magnetization comes out at 0.002 μB/f.u. The density comes out at 10.04 g/cm³. The energy of formation comes out at -0.036 eV per atom.

Lattice parameters (Å, degrees): 4.814 4.814 4.814 60.00 60.00 60.00
Fractional coordinates of all 4 atoms:
1 Pa 0.000 0.000 0.000
2 Cd 0.500 0.500 0.500
3 Ga 0.250 0.250 0.250
4 Cu 0.750 0.750 0.750



Entry 6:
DFT (PBE) results for Cd2GaCuPb after structural relaxation.

Calculated values
The spin magnetization comes out at 0.000 μB/f.u. The density comes out at 7.71 g/cm³. The energy of formation comes out at 0.165 eV per atom.

Lattice parameters (Å, degrees): 5.116 5.116 4.648 90.00 90.00 90.00
Fractional coordinates of all 5 atoms:
1 Cd 0.000 0.500 0.000
2 Cd 0.500 0.000 0.000
3 Ga 0.000 0.000 0.500
4 Cu 0.000 0.000 0.000
5 Pb 0.500 0.500 0.500



Entry 7:
DFT (PBE) results for CdGa2CuPb after structural relaxation.

Calculated values
The spin magnetization comes out at 0.000 μB/f.u. The density comes out at 7.48 g/cm³. The energy of formation comes out at 0.154 eV per atom.

Lattice parameters (Å, degrees): 4.716 4.716 5.213 90.00 90.00 90.00
Fractional coordinates of all 5 atoms:
1 Cd 0.000 0.000 0.000
2 Ga 0.000 0.500 0.500
3 Ga 0.500 0.000 0.500
4 Cu 0.000 0.000 0.500
5 Pb 0.500 0.500 0.000



Entry 8:
DFT (PBE) results for Cd2Ga2CuPd5 after structural relaxation.

Calculated values
The spin magnetization comes out at 0.000 μB/f.u. The density comes out at 9.62 g/cm³. The energy of formation comes out at -0.349 eV per atom.

Lattice parameters (Å, degrees): 9.515 9.515 3.660 90.00 90.00 90.00
Fractional coordinates of all 20 atoms:
1 Cd 0.171 0.329 0.000
2 Cd 0.329 0.829 0.000
3 Cd 0.671 0.171 0.000
4 Cd 0.829 0.671 0.000
5 Ga 0.130 0.630 0.000
6 Ga 0.370 0.130 0.000
7 Ga 0.630 0.870 0.000
8 Ga 0.870 0.370 0.000
9 Cu 0.000 0.000 0.000
10 Cu 0.500 0.500 0.000
11 Pd 0.000 0.500 0.500
12 Pd 0.076 0.805 0.500
13 Pd 0.195 0.076 0.500
14 Pd 0.305 0.576 0.500
15 Pd 0.424 0.305 0.500
16 Pd 0.500 0.000 0.500
17 Pd 0.576 0.695 0.500
18 Pd 0.695 0.424 0.500
19 Pd 0.805 0.924 0.500
20 Pd 0.924 0.195 0.500



Entry 9:
DFT (PBE) results for CdGaCuPd after structural relaxation.

Calculated values
The spin magnetization comes out at 0.000 μB/f.u. The density comes out at 9.21 g/cm³. The energy of formation comes out at -0.206 eV per atom.

Lattice parameters (Å, degrees): 4.478 4.478 4.478 60.00 60.00 60.00
Fractional coordinates of all 4 atoms:
1 Cd 0.000 0.000 0.000
2 Ga 0.500 0.500 0.500
3 Cu 0.750 0.750 0.750
4 Pd 0.250 0.250 0.250



Entry 10:
DFT (PBE) results for PmCdGaCu after structural relaxation.

Calculated values
The spin magnetization comes out at 0.000 μB/f.u. The density comes out at 8.01 g/cm³. The energy of formation comes out at -0.311 eV per atom.

Lattice parameters (Å, degrees): 4.857 4.857 4.857 60.00 60.00 60.00
Fractional coordinates of all 4 atoms:
1 Pm 0.000 0.000 0.000
2 Cd 0.500 0.500 0.500
3 Ga 0.250 0.250 0.250
4 Cu 0.750 0.750 0.750



Entry 11:
DFT (PBE) results for Pm2CdGa3Cu4 after structural relaxation.

Calculated values
The spin magnetization comes out at 0.000 μB/f.u. The density comes out at 7.72 g/cm³. The energy of formation comes out at -0.359 eV per atom.

Lattice parameters (Å, degrees): 4.245 4.245 10.337 90.00 90.00 90.00
Fractional coordinates of all 10 atoms:
1 Pm 0.000 0.500 0.235
2 Pm 0.500 0.000 0.765
3 Cd 0.000 0.000 0.500
4 Ga 0.000 0.500 0.877
5 Ga 0.500 0.000 0.123
6 Ga 0.500 0.500 0.500
7 Cu 0.000 0.000 0.000
8 Cu 0.000 0.500 0.646
9 Cu 0.500 0.000 0.354
10 Cu 0.500 0.500 0.000



Entry 12:
DFT (PBE) results for PmCdGa2Cu after structural relaxation.

Calculated values
The spin magnetization comes out at 0.000 μB/f.u. The density comes out at 7.64 g/cm³. The energy of formation comes out at -0.381 eV per atom.

Lattice parameters (Å, degrees): 6.265 6.265 6.265 140.14 140.14 57.64
Fractional coordinates of all 5 atoms:
1 Pm 0.000 0.000 0.000
2 Cd 0.250 0.750 0.500
3 Ga 0.389 0.389 0.000
4 Ga 0.611 0.611 0.000
5 Cu 0.750 0.250 0.500



Entry 13:
DFT (PBE) results for Pm4CdGaCu2 after structural relaxation.

Calculated values
The spin magnetization comes out at 0.003 μB/f.u. The density comes out at 7.46 g/cm³. The energy of formation comes out at -0.273 eV per atom.

Lattice parameters (Å, degrees): 9.040 9.040 9.040 33.28 33.28 33.28
Fractional coordinates of all 8 atoms:
1 Pm 0.121 0.121 0.121
2 Pm 0.372 0.372 0.372
3 Pm 0.628 0.628 0.628
4 Pm 0.879 0.879 0.879
5 Cd 0.500 0.500 0.500
6 Ga 0.000 0.000 0.000
7 Cu 0.244 0.244 0.244
8 Cu 0.756 0.756 0.756



Entry 14:
DFT (PBE) results for PrCdGaCu after structural relaxation.

Calculated values
The spin magnetization comes out at 0.000 μB/f.u. The density comes out at 7.69 g/cm³. The energy of formation comes out at -0.297 eV per atom.

Lattice parameters (Å, degrees): 4.906 4.906 4.906 60.00 60.00 60.00
Fractional coordinates of all 4 atoms:
1 Pr 0.000 0.000 0.000
2 Cd 0.500 0.500 0.500
3 Ga 0.750 0.750 0.750
4 Cu 0.250 0.250 0.250



Entry 15:
DFT (PBE) results for Cd2Ga2CuPt5 after structural relaxation.

Calculated values
The spin magnetization comes out at 0.000 μB/f.u. The density comes out at 14.02 g/cm³. The energy of formation comes out at -0.349 eV per atom.

Lattice parameters (Å, degrees): 9.448 9.448 3.724 90.00 90.00 90.00
Fractional coordinates of all 20 atoms:
1 Cd 0.171 0.329 0.000
2 Cd 0.329 0.829 0.000
3 Cd 0.671 0.171 0.000
4 Cd 0.829 0.671 0.000
5 Ga 0.131 0.631 0.000
6 Ga 0.369 0.131 0.000
7 Ga 0.631 0.869 0.000
8 Ga 0.869 0.369 0.000
9 Cu 0.000 0.000 0.000
10 Cu 0.500 0.500 0.000
11 Pt 0.000 0.500 0.500
12 Pt 0.074 0.805 0.500
13 Pt 0.195 0.074 0.500
14 Pt 0.305 0.574 0.500
15 Pt 0.426 0.305 0.500
16 Pt 0.500 0.000 0.500
17 Pt 0.574 0.695 0.500
18 Pt 0.695 0.426 0.500
19 Pt 0.805 0.926 0.500
20 Pt 0.926 0.195 0.500



Entry 16:
DFT (PBE) results for CdGa2CuPt4 after structural relaxation.

Calculated values
The spin magnetization comes out at 0.000 μB/f.u. The density comes out at 14.27 g/cm³. The energy of formation comes out at -0.413 eV per atom.

Lattice parameters (Å, degrees): 8.289 8.289 8.289 30.17 30.17 30.17
Fractional coordinates of all 8 atoms:
1 Cd 0.000 0.000 0.000
2 Ga 0.244 0.244 0.244
3 Ga 0.756 0.756 0.756
4 Cu 0.500 0.500 0.500
5 Pt 0.129 0.129 0.129
6 Pt 0.393 0.393 0.393
7 Pt 0.607 0.607 0.607
8 Pt 0.871 0.871 0.871



Entry 17:
DFT (PBE) results for Pu2CdGa3Cu4 after structural relaxation.

Calculated values
The spin magnetization comes out at 11.340 μB/f.u. The density comes out at 9.61 g/cm³. The energy of formation comes out at -0.145 eV per atom.

Lattice parameters (Å, degrees): 4.115 4.115 10.853 90.00 90.00 90.00
Fractional coordinates of all 10 atoms:
1 Pu 0.000 0.500 0.236
2 Pu 0.500 0.000 0.764
3 Cd 0.000 0.000 0.500
4 Ga 0.000 0.500 0.874
5 Ga 0.500 0.000 0.126
6 Ga 0.500 0.500 0.500
7 Cu 0.000 0.000 0.000
8 Cu 0.000 0.500 0.651
9 Cu 0.500 0.000 0.349
10 Cu 0.500 0.500 0.000



Entry 18:
DFT (PBE) results for PuCdGaCu after structural relaxation.

Calculated values
The spin magnetization comes out at 5.543 μB/f.u. The density comes out at 10.23 g/cm³. The energy of formation comes out at -0.091 eV per atom.

Lattice parameters (Å, degrees): 4.826 4.826 4.826 60.00 60.00 60.00
Fractional coordinates of all 4 atoms:
1 Pu 0.000 0.000 0.000
2 Cd 0.500 0.500 0.500
3 Ga 0.750 0.750 0.750
4 Cu 0.250 0.250 0.250



Entry 19:
DFT (PBE) results for Pu2CdGa4Cu3 after structural relaxation.

Calculated values
The spin magnetization comes out at 11.261 μB/f.u. The density comes out at 9.50 g/cm³. The energy of formation comes out at -0.200 eV per atom.

Lattice parameters (Å, degrees): 4.164 4.164 10.794 90.00 90.00 90.00
Fractional coordinates of all 10 atoms:
1 Pu 0.000 0.500 0.236
2 Pu 0.500 0.000 0.764
3 Cd 0.000 0.000 0.500
4 Ga 0.000 0.000 0.000
5 Ga 0.000 0.500 0.653
6 Ga 0.500 0.000 0.347
7 Ga 0.500 0.500 0.000
8 Cu 0.000 0.500 0.874
9 Cu 0.500 0.000 0.126
10 Cu 0.500 0.500 0.500



Entry 20:
DFT (PBE) results for RbCd2GaCu after structural relaxation.

Calculated values
The spin magnetization comes out at 0.000 μB/f.u. The density comes out at 5.48 g/cm³. The energy of formation comes out at 0.069 eV per atom.

Lattice parameters (Å, degrees): 5.257 5.257 4.861 90.00 90.00 90.00
Fractional coordinates of all 5 atoms:
1 Rb 0.000 0.000 0.000
2 Cd 0.000 0.500 0.500
3 Cd 0.500 0.000 0.500
4 Ga 0.500 0.500 0.000
5 Cu 0.500 0.500 0.500



Entry 21:
DFT (PBE) results for CdGaCuRh after structural relaxation.

Calculated values
The spin magnetization comes out at 0.000 μB/f.u. The density comes out at 9.43 g/cm³. The energy of formation comes out at -0.154 eV per atom.

Lattice parameters (Å, degrees): 4.427 4.427 4.427 60.00 60.00 60.00
Fractional coordinates of all 4 atoms:
1 Cd 0.000 0.000 0.000
2 Ga 0.500 0.500 0.500
3 Cu 0.750 0.750 0.750
4 Rh 0.250 0.250 0.250



Entry 22:
DFT (PBE) results for CdGaCu2S4 after structural relaxation.

Calculated values
The spin magnetization comes out at 0.000 μB/f.u. For the formation energy (no corrections), the calculation gives -0.483 eV/atom. The density comes out at 4.46 g/cm³.

Lattice parameters (Å, degrees): 6.647 6.647 6.647 131.16 131.16 71.56
Fractional coordinates of all 8 atoms:
1 Cd 0.000 0.000 0.000
2 Ga 0.500 0.500 0.000
3 Cu 0.250 0.750 0.500
4 Cu 0.750 0.250 0.500
5 S 0.133 0.133 0.536
6 S 0.403 0.867 0.000
7 S 0.597 0.597 0.464
8 S 0.867 0.403 0.000



Entry 23:
DFT (PBE) results for CdGaCu2Sb after structural relaxation.

Calculated values
The spin magnetization comes out at 0.000 μB/f.u. For the formation energy (no corrections), the calculation gives 0.774 eV/atom. The density comes out at 5.48 g/cm³.

Lattice parameters (Å, degrees): 4.892 4.892 5.460 90.00 90.00 90.00
Fractional coordinates of all 5 atoms:
1 Cd 0.000 0.000 0.000
2 Ga 0.500 0.500 0.500
3 Cu 0.000 0.500 0.000
4 Cu 0.500 0.000 0.000
5 Sb 0.000 0.000 0.500



Entry 24:
DFT (PBE) results for Sc4CdGaCu2 after structural relaxation.

Calculated values
The spin magnetization comes out at 0.000 μB/f.u. The density comes out at 5.33 g/cm³. The energy of formation comes out at -0.346 eV per atom.

Lattice parameters (Å, degrees): 8.241 8.241 8.241 33.55 33.55 33.55
Fractional coordinates of all 8 atoms:
1 Sc 0.121 0.121 0.121
2 Sc 0.371 0.371 0.371
3 Sc 0.629 0.629 0.629
4 Sc 0.879 0.879 0.879
5 Cd 0.500 0.500 0.500
6 Ga 0.000 0.000 0.000
7 Cu 0.247 0.247 0.247
8 Cu 0.753 0.753 0.753